# PBE CsLiTlBr3, relaxed
data_CsLiTlBr3
_space_group_name_H-M_alt 'P 1 21/m 1'
_space_group_IT_number 11
_cell_length_a 10.340
_cell_length_b 4.619
_cell_length_c 10.487
_cell_angle_alpha 90.00
_cell_angle_beta 100.16
_cell_angle_gamma 90.00
loop_
_space_group_symop_operation_xyz
'x,y,z'
'-x,-y,-z'
'-x,y+1/2,-z'
'x,-y+1/2,z'
loop_
_atom_site_label
_atom_site_type_symbol
_atom_site_fract_x
_atom_site_fract_y
_atom_site_fract_z
Cs1 Cs 0.206 0.250 0.169
Li1 Li 0.401 0.750 0.913
Tl1 Tl 0.160 0.250 0.644
Br1 Br 0.152 0.750 0.418
Br2 Br 0.157 0.750 0.888
Br3 Br 0.493 0.250 0.846
# raw formation energy = -1389.0 meV/atom